The following is a DFT calculation (PBE-GGA) of crystalline Pr4Pd2Au at its relaxed geometry.

- crystal system = trigonal
- energy of formation from the pure elements (eV per atom) = -0.543
- volume (Å³/atom) = 29.1
- DOS(E_F) (states/eV/atom) = 1.027
- space-group type = R-3m (166)

Lattice parameters (Å, degrees): 4.650 4.650 11.195 78.01 78.01 60.00
Element x y z (fractional)
1 Pr 0.381 0.381 0.856
2 Pr 0.202 0.202 0.394
3 Pr 0.798 0.798 0.606
4 Pr 0.619 0.619 0.144
5 Pd 0.092 0.092 0.723
6 Pd 0.908 0.908 0.277
7 Au 0.000 0.000 0.000